# Tl2TeI2

Tl2TeI2 after structural relaxation (PBE, Alexandria via LeMat-Bulk).

Unit cell a=9.5084 b=9.5084 c=4.2054 alpha=90.00 beta=90.00 gamma=90.00
Space group P4/mbm (No. 127)
Symmetry-distinct sites (fractional):
Tl (0.1550, 0.3450, 0.0000) x4
Te (0.0000, 0.0000, 0.0000) x2
I (0.1495, 0.6495, 0.5000) x4

DOS at the Fermi energy ... 10.0 states/eV per cell
Theoretical density ... 6.90 g cm⁻³
Total moment ... 0.232 μB per atom
Total energy ... -2.3450 eV/atom
Formation energy without anion corrections ... -0.150 eV per atom



# Pr2CuNi4As3

Pr2CuNi4As3 after structural relaxation (PBE, Alexandria via LeMat-Bulk).

Unit cell a=4.1642 b=4.1642 c=9.5672 alpha=90.00 beta=90.00 gamma=90.00
Space group P-4m2 (No. 115)
Symmetry-distinct sites (fractional):
Pr (0.0000, 0.5000, 0.2486) x2
Cu (0.0000, 0.0000, 0.5000) x1
Ni (0.0000, 0.0000, 0.0000) x1
Ni (0.0000, 0.5000, 0.6204) x2
Ni (0.5000, 0.5000, 0.0000) x1
As (0.0000, 0.5000, 0.8681) x2
As (0.5000, 0.5000, 0.5000) x1

DOS at the Fermi energy ... 6.0 states/eV per cell
DFT formation energy ... -708 kJ/mol of formula units
Theoretical density ... 8.06 g cm⁻³
Total moment ... 0.000 μB per atom
Total energy ... -5.8070 eV/atom



# Sc2VPtC

Sc2VPtC after structural relaxation (PBE, Alexandria via LeMat-Bulk).

Unit cell a=4.5293 b=4.5293 c=3.8788 alpha=90.00 beta=90.00 gamma=90.00
Space group P4/mmm (No. 123)
Symmetry-distinct sites (fractional):
Sc (0.0000, 0.5000, 0.0000) x2
V (0.0000, 0.0000, 0.5000) x1
Pt (0.5000, 0.5000, 0.5000) x1
C (0.0000, 0.0000, 0.0000) x1

DOS at the Fermi energy ... 3.8 states/eV per cell
DFT formation energy ... -301 kJ/mol of formula units
Theoretical density ... 7.26 g cm⁻³
Total moment ... 0.328 μB per atom
Total energy ... -8.0325 eV/atom



> What is the formula in the second record?

Pr2CuNi4As3



> Which formula does entry 2 have?

Pr2CuNi4As3